No. 1
This record from Alexandria describes CuAs after structural relaxation. The functional is GGA-PBE.

Unit cell a=4.4922 b=4.4922 c=4.4922 alpha=60.00 beta=60.00 gamma=60.00
Sites, in units of the cell vectors:
Cu (0.1250, 0.1250, 0.1250)
Cu (0.8750, 0.8750, 0.8750)
As (0.3750, 0.3750, 0.3750)
As (0.6250, 0.6250, 0.6250)

Properties
- Energy of formation: 0.381 eV/atom

---

No. 2
This record from Alexandria describes SiTeN2Cl after structural relaxation. The functional is GGA-PBE.

Unit cell a=3.6546 b=3.6546 c=5.9512 alpha=90.00 beta=90.00 gamma=90.00
Sites, in units of the cell vectors:
Si (0.0000, 0.0000, 0.0000)
Te (0.0000, 0.0000, 0.5000)
N (0.0000, 0.5000, 0.0000)
N (0.5000, 0.0000, 0.0000)
Cl (0.5000, 0.5000, 0.5000)

Properties
- Polymorph energy (0 for the lowest one): 0.000 eV per atom
- Energy relative to the elements, uncorrected: 763.2 meV/atom

---

No. 3
This record from Alexandria describes MnCo3 after structural relaxation. The functional is GGA-PBE.

Unit cell a=2.4880 b=4.0032 c=4.6992 alpha=90.00 beta=100.64 gamma=90.00
Sites, in units of the cell vectors:
Mn (0.0000, 0.0000, 0.0000)
Co (0.2484, 0.5000, 0.7474)
Co (0.5000, 0.0000, 0.5000)
Co (0.7516, 0.5000, 0.2526)

Properties
- Energy of formation: 0.099 eV/atom

---

| no. | size of the total moment (μB per cell) | DOS(E_F) (states/eV/f.u.) |
| --- | --- | --- |
| 1 | 0.000 | 0.4 |
| 2 | 0.000 | 2.0 |
| 3 | 8.110 | 4.5 |